Entry 1:
This record from the Alexandria database describes crystalline InP2Rh at its relaxed geometry. The functional is PBE.

a = 6.753 Å, b = 6.753 Å, c = 6.753 Å
α = 129.87°, β = 129.87°, γ = 73.62°
Atoms (fractional coordinates):
1 In 0.000 0.000 0.000
2 In 0.750 0.250 0.500
3 P 0.178 0.625 0.053
4 P 0.375 0.428 0.553
5 P 0.572 0.125 0.947
6 P 0.875 0.822 0.447
7 Rh 0.250 0.750 0.500
8 Rh 0.500 0.500 0.000

Calculated values
Space group   I-42d, No. 122


Entry 2:
This record from the Alexandria database describes crystalline InP2Rh at its relaxed geometry. The functional is PBE.

a = 4.912 Å, b = 4.912 Å, c = 4.912 Å
α = 131.08°, β = 131.08°, γ = 71.69°
Atoms (fractional coordinates):
1 In 0.000 0.000 0.000
2 P 0.250 0.750 0.500
3 P 0.500 0.500 0.000
4 Rh 0.750 0.250 0.500

Calculated values
Space group   I-4m2, No. 119


Computed ΔE_f (eV per atom) in order:
-0.16 0.31